[1]
Entry from Alexandria: a relaxed Cd5InHg11 crystal (PBE).

Values from the calculation:
Energy of formation from the pure elements   0.038 eV per atom
Total energy   -0.5879 eV/atom
Magnetization   0.000 μB/atom

abc: 7.2448 8.6268 8.6268
angles: 103.32 108.68 108.68
Last column: nearest neighbours and their distance in Å.
Atoms (fractional coordinates):
1 Hg 0.5000 0.0000 0.0000  4 Cd 3.22, 6 Hg 3.31-3.39
2 Hg 0.2515 0.8364 0.2271  3 Cd 2.96-3.10, 2 Hg 3.12-3.31, 1 In 3.13
3 Hg 0.1896 0.4561 0.2085  2 Hg 2.98-3.12, 3 Cd 3.00-3.23
4 Hg 0.4753 0.6747 0.6747  3 Cd 2.95-3.03, 2 Hg 2.98
5 Hg 0.7485 0.7729 0.1636  3 Cd 2.96-3.10, 2 Hg 3.12-3.31, 1 In 3.13
6 Hg 0.5247 0.3253 0.3253  3 Cd 2.95-3.03, 2 Hg 2.98
7 Hg 0.7485 0.1636 0.7729  3 Cd 2.96-3.10, 2 Hg 3.12-3.31, 1 In 3.13
8 Hg 0.8104 0.5439 0.7915  2 Hg 2.98-3.12, 3 Cd 3.00-3.23
9 Hg 0.2515 0.2271 0.8364  3 Cd 2.96-3.10, 2 Hg 3.12-3.31, 1 In 3.13
10 Hg 0.1896 0.2085 0.4561  2 Hg 2.98-3.12, 3 Cd 3.00-3.23
11 Hg 0.8104 0.7915 0.5439  2 Hg 2.98-3.12, 3 Cd 3.00-3.23
12 In 0.0000 0.0000 0.0000  4 Hg 3.13
13 Cd 0.7340 0.0849 0.4157  7 Hg 2.96-3.22, 1 Cd 3.25
14 Cd 0.2660 0.9151 0.5843  7 Hg 2.96-3.22, 1 Cd 3.25
15 Cd 0.7340 0.4157 0.0849  7 Hg 2.96-3.22, 1 Cd 3.25
16 Cd 0.0000 0.5000 0.5000  6 Hg 2.95-3.23, 4 Cd 3.25
17 Cd 0.2660 0.5843 0.9151  7 Hg 2.96-3.22, 1 Cd 3.25

***

[2]
Entry from Alexandria: a relaxed Na3In4Ag4 crystal (PBE).

Values from the calculation:
Energy of formation from the pure elements   -0.082 eV per atom
Total energy   -2.4747 eV/atom
Magnetization   0.000 μB/atom

abc: 4.4712 8.1079 8.8620
angles: 117.22 104.61 90.00
Last column: nearest neighbours and their distance in Å.
Atoms (fractional coordinates):
1 In 0.6714 0.4723 0.3427  4 Ag 2.77-2.92
2 In 0.3286 0.1296 0.6573  4 Ag 2.77-2.92
3 In 0.6714 0.8704 0.3427  4 Ag 2.77-2.92
4 In 0.3286 0.5277 0.6573  4 Ag 2.77-2.92
5 Ag 0.7780 0.2780 0.5560  6 In 2.86-2.92
6 Ag 0.2220 0.7220 0.4440  6 In 2.86-2.92
7 Ag 0.5000 0.1785 0.0000  2 In 2.77, 1 Ag 2.89
8 Ag 0.5000 0.8215 0.0000  2 In 2.77, 1 Ag 2.89
9 Na 0.8804 0.8804 0.7608  6 Ag 3.22-3.28, 6 In 3.40-3.55
10 Na 0.0000 0.5000 0.0000  6 Ag 3.36-3.43
11 Na 0.1196 0.1196 0.2392  6 Ag 3.22-3.28, 6 In 3.40-3.55

***

[3]
Entry from Alexandria: a relaxed Er6SiSe3S2 crystal (PBE).

Values from the calculation:
Total energy   -5.9876 eV/atom
Formation energy without anion corrections   -1.70 eV/atom
Magnetization   0.000 μB/atom

abc: 6.8726 6.8726 7.0171
angles: 99.37 99.37 119.97
Last column: nearest neighbours and their distance in Å.
Atoms (fractional coordinates):
1 Er 0.4071 0.0758 0.2288  1 Si 2.74, 2 S 2.75-2.76, 3 Se 2.90-2.92
2 Er 0.2549 0.2549 0.7715  1 Si 2.73, 2 S 2.75, 3 Se 2.92-2.93
3 Er 0.7451 0.7451 0.2285  1 Si 2.73, 2 S 2.75, 3 Se 2.92-2.93
4 Er 0.5929 0.9242 0.7712  1 Si 2.74, 2 S 2.75-2.76, 3 Se 2.90-2.92
5 Er 0.0758 0.4071 0.2288  1 Si 2.74, 2 S 2.75-2.76, 3 Se 2.90-2.92
6 Er 0.9242 0.5929 0.7712  1 Si 2.74, 2 S 2.75-2.76, 3 Se 2.90-2.92
7 Se 0.8325 0.1675 0.5000  6 Er 2.90-2.92
8 Se 0.5000 0.5000 0.5000  6 Er 2.91-2.93
9 Se 0.1675 0.8325 0.5000  6 Er 2.90-2.92
10 Si 0.0000 0.0000 0.0000  6 Er 2.73-2.74
11 S 0.3334 0.6666 0.0000  6 Er 2.75-2.76
12 S 0.6666 0.3334 0.0000  6 Er 2.75-2.76

***

[4]
Entry from Alexandria: a relaxed MnOsW2 crystal (PBE).

Values from the calculation:
Energy of formation from the pure elements   0.224 eV per atom
Total energy   -11.3524 eV/atom
Magnetization   0.494 μB/atom

abc: 4.3739 4.3739 4.3739
angles: 60.00 60.00 60.00
Last column: nearest neighbours and their distance in Å.
Atoms (fractional coordinates):
1 W 0.2500 0.2500 0.2500  4 Os 2.68, 4 Mn 2.68
2 W 0.7500 0.7500 0.7500  4 Mn 2.68, 4 Os 2.68
3 Mn 0.0000 0.0000 0.0000  8 W 2.68
4 Os 0.5000 0.5000 0.5000  8 W 2.68

***

[5]
Entry from Alexandria: a relaxed NaLiC3 crystal (PBE).

Values from the calculation:
Energy of formation from the pure elements   2.688 eV per atom
Total energy   -3.4926 eV/atom
Magnetization   0.000 μB/atom

abc: 3.9595 3.9595 3.9595
angles: 90.00 90.00 90.00
Last column: nearest neighbours and their distance in Å.
Atoms (fractional coordinates):
1 C 0.5000 0.0000 0.0000  2 Li 1.98
2 C 0.0000 0.5000 0.0000  2 Li 1.98
3 C 0.0000 0.0000 0.5000  2 Li 1.98
4 Li 0.0000 0.0000 0.0000  6 C 1.98
5 Na 0.5000 0.5000 0.5000  12 C 2.80

***

[6]
Entry from Alexandria: a relaxed NaNiRh2Br crystal (PBE).

Values from the calculation:
Total energy   -2.9763 eV/atom
Formation energy without anion corrections   1.72 eV/atom
Magnetization   0.756 μB/atom

abc: 4.7713 4.8137 4.7713
angles: 90.00 90.00 90.00
Last column: nearest neighbours and their distance in Å.
Atoms (fractional coordinates):
1 Rh 0.5000 0.0000 0.0000  2 Na 2.39
2 Rh 0.0000 0.0000 0.5000  2 Na 2.39
3 Ni 0.5000 0.5000 0.5000  4 Br 3.37, 8 Rh 3.39
4 Na 0.0000 0.0000 0.0000  4 Rh 2.39, 2 Br 2.41
5 Br 0.0000 0.5000 0.0000  2 Na 2.41

***

[7]
Entry from Alexandria: a relaxed TeWBr2 crystal (PBE).

Values from the calculation:
Total energy   -3.5351 eV/atom
Formation energy without anion corrections   1.33 eV/atom
Magnetization   0.000 μB/atom

abc: 4.9508 4.9508 4.9508
angles: 60.00 60.00 60.00
Last column: nearest neighbours and their distance in Å.
Atoms (fractional coordinates):
1 W 0.5000 0.5000 0.5000  8 Br 3.03
2 Br 0.7500 0.7500 0.7500  4 W 3.03, 4 Te 3.03
3 Br 0.2500 0.2500 0.2500  4 W 3.03, 4 Te 3.03
4 Te 0.0000 0.0000 0.0000  8 Br 3.03

***

[8]
Entry from Alexandria: a relaxed GaSn2Pd9 crystal (PBE).

Values from the calculation:
Energy of formation from the pure elements   -0.487 eV per atom
Total energy   -5.3014 eV/atom
Magnetization   0.000 μB/atom

abc: 4.0083 4.0083 11.9568
angles: 90.00 90.00 90.00
Last column: nearest neighbours and their distance in Å.
Atoms (fractional coordinates):
1 Pd 0.5000 0.5000 0.6693  4 Sn 2.83, 8 Pd 2.85-2.86
2 Pd 0.5000 0.0000 0.5000  8 Pd 2.83-2.85, 4 Sn 2.87
3 Pd 0.5000 0.0000 0.8403  8 Pd 2.77-2.86, 2 Ga 2.77, 2 Sn 2.84
4 Pd 0.0000 0.5000 0.8403  8 Pd 2.77-2.86, 2 Ga 2.77, 2 Sn 2.84
5 Pd 0.5000 0.5000 0.3307  4 Sn 2.83, 8 Pd 2.85-2.86
6 Pd 0.0000 0.5000 0.5000  8 Pd 2.83-2.85, 4 Sn 2.87
7 Pd 0.0000 0.5000 0.1597  8 Pd 2.77-2.86, 2 Ga 2.77, 2 Sn 2.84
8 Pd 0.5000 0.0000 0.1597  8 Pd 2.77-2.86, 2 Ga 2.77, 2 Sn 2.84
9 Pd 0.5000 0.5000 0.0000  8 Pd 2.77, 4 Ga 2.83
10 Sn 0.0000 0.0000 0.3280  12 Pd 2.83-2.87
11 Sn 0.0000 0.0000 0.6720  12 Pd 2.83-2.87
12 Ga 0.0000 0.0000 0.0000  12 Pd 2.77-2.83